1.
## NaCdIO4 (GGA-PBE)

Data for a relaxed structure of NaCdIO4.

The uncorrected energy comes out at -4.17 eV/atom. For the uncorrected formation energy, the calculation gives -0.80 eV/atom.

The space group is Imma (No. 74) and the conventional cell measures 6.649, 7.084 and 8.886 Å, with angles of 90.00, 90.00 and 90.00 degrees. The inequivalent atoms are Na at (0.000, 0.000, 0.000), Cd at (0.250, 0.250, 0.250), I at (0.000, 0.250, 0.676), O at (0.000, 0.034, 0.263) and O at (0.221, 0.250, 0.548).

=====

2.
## KCo2Br (GGA-PBE)

Data for a relaxed structure of KCo2Br.

The uncorrected energy comes out at -3.32 eV/atom. As for the density of states at the Fermi level: 1.358 states/eV/atom. The value obtained for the energy above the most stable polymorph in this dataset is 68.3 kJ per mole of atoms. For the uncorrected formation energy, the calculation gives 0.93 eV/atom.

The space group is F-43m (No. 216) and the conventional cell measures 6.957, 6.957 and 6.957 Å, with angles of 90.00, 90.00 and 90.00 degrees. The inequivalent atoms are K at (0.000, 0.000, 0.000), Co at (0.000, 0.000, 0.500), Co at (0.250, 0.250, 0.250) and Br at (0.250, 0.250, 0.750).

=====

3.
## Tm2PaIn (GGA-PBE)

Data for a relaxed structure of Tm2PaIn.

The uncorrected energy comes out at -5.39 eV/atom. As for the density of states at the Fermi level: 0.969 states/eV/atom. The value obtained for the energy above the most stable polymorph in this dataset is 3.4 kJ per mole of atoms. The energy of formation from the pure elements is -0.097 eV/atom.

The space group is R-3m (No. 166, hexagonal axes) and the conventional cell measures 3.3982, 3.3982 and 32.2129 Å, with angles of 90.00, 90.00 and 120.00 degrees. The inequivalent atoms are Tm at (0.0000, 0.0000, 0.2493), Pa at (0.0000, 0.0000, 0.0000) and In at (0.0000, 0.0000, 0.5000).

=====

4.
## AcZnPd3Pt (GGA-PBE)

Data for a relaxed structure of AcZnPd3Pt.

The uncorrected energy comes out at -4.91 eV/atom. As for the density of states at the Fermi level: 0.737 states/eV/atom. The energy of formation from the pure elements is -0.412 eV/atom.

The space group is Cmcm (No. 63) and the conventional cell measures 6.830, 12.283 and 5.875 Å, with angles of 90.00, 90.00 and 90.00 degrees. The inequivalent atoms are Ac at (0.000, 0.209, 0.250), Zn at (0.000, 0.137, 0.750), Pd at (0.000, 0.344, 0.750), Pd at (0.197, 0.000, 0.000) and Pt at (0.000, 0.433, 0.250).

=====

> Number 4 is which compound?

AcZnPd3Pt

=====

> Look up the uncorrected energy of the fourth one.

-4.91 eV/atom